No. 1
ReMoIr2: relaxed, PBE.

Summary:
E_form: 23.7 kJ per mole of atoms
Magnetic moment: 0.0 μB per cell
DFT total energy: -10.004 eV/atom
Energy relative to the lowest polymorph listed for this composition: 575.4 meV/atom

Cell: 6.241 6.241 6.241 Å, 90.00 90.00 90.00°
Space group F-43m (No. 216)
One atom of each set of equivalent atoms:
Re 0.000 0.000 0.000 [4 per cell]
Mo 0.250 0.250 0.250 [4 per cell]
Ir 0.000 0.000 0.500 [4 per cell]
Ir 0.250 0.250 0.750 [4 per cell]

No. 2
Cs3PaIn2O8: relaxed, PBE.

Summary:
Magnetic moment: 2.2 μB per cell
DFT total energy: -5.872 eV/atom

Cell: 6.4199 6.4199 8.6199 Å, 90.00 90.00 120.00°
Space group P-3m1 (No. 164)
One atom of each set of equivalent atoms:
Cs 0.0000 0.0000 0.0000 [1 per cell]
Cs 0.3333 0.6667 0.6941 [2 per cell]
Pa 0.0000 0.0000 0.5000 [1 per cell]
In 0.3333 0.6667 0.2665 [2 per cell]
O 0.1588 0.3177 0.3531 [6 per cell]
O 0.3333 0.6667 0.0285 [2 per cell]

No. 3
Ac8GeBi4Te3: relaxed, PBE.

Summary:
Magnetic moment: 0.0 μB per cell
DFT total energy: -5.096 eV/atom

Cell: 9.6095 9.6095 23.4461 Å, 90.00 90.00 120.00°
Space group R-3m (No. 166, hexagonal axes)
One atom of each set of equivalent atoms:
Ac 0.0000 0.0000 0.2486 [6 per cell]
Ac 0.0131 0.5066 0.7477 [18 per cell]
Ge 0.0000 0.0000 0.0000 [3 per cell]
Bi 0.0000 0.0000 0.5000 [3 per cell]
Bi 0.0000 0.5000 0.5000 [9 per cell]
Te 0.0000 0.5000 0.0000 [9 per cell]

No. 4
RbSiB: relaxed, PBE.

Summary:
Magnetic moment: 0.0 μB per cell
DFT total energy: -3.940 eV/atom

Cell: 14.522 3.643 6.289 Å, 90.00 90.00 90.00°
Space group Pnma (No. 62)
One atom of each set of equivalent atoms:
Rb 0.141 0.250 0.114 [4 per cell]
Si 0.109 0.750 0.624 [4 per cell]
B 0.000 0.000 0.500 [4 per cell]

No. 5
Li2TlI: relaxed, PBE.

Summary:
Magnetic moment: 0.0 μB per cell
DFT total energy: -2.355 eV/atom
Energy relative to the lowest polymorph listed for this composition: 67.7 meV/atom

Cell: 7.789 7.789 7.212 Å, 90.00 90.00 90.00°
Space group I-42d (No. 122)
One atom of each set of equivalent atoms:
Li 0.224 0.250 0.125 [8 per cell]
Tl 0.000 0.000 0.500 [4 per cell]
I 0.000 0.000 0.000 [4 per cell]

No. 6
ErPu4Au5: relaxed, PBE.

Summary:
E_form: -47.7 kJ per mole of atoms
Magnetic moment: 0.2 μB per cell
DFT total energy: -8.322 eV/atom

Cell: 3.519 3.519 19.144 Å, 90.00 90.00 90.00°
Space group P4/mmm (No. 123)
One atom of each set of equivalent atoms:
Er 0.000 0.000 0.000 [1 per cell]
Pu 0.000 0.000 0.196 [2 per cell]
Pu 0.000 0.000 0.399 [2 per cell]
Au 0.500 0.500 0.090 [2 per cell]
Au 0.500 0.500 0.297 [2 per cell]
Au 0.500 0.500 0.500 [1 per cell]

Look up the magnetic moment of the fifth one.
0.0 μB per cell